Below is crystalline BeCrWO6 at its relaxed geometry, with properties calculated at the GGA+U level.

Cell lengths 4.8379, 4.8379, 8.6941 Å; angles 90.00, 90.00, 120.00 degrees
Site moments in Bohr magnetons follow the coordinates.
Fractional positions:
Be: 0.6667 0.3333 0.2500  0.01
Be: 0.3333 0.6667 0.7500  0.01
Cr: 0.0000 0.0000 0.0000  2.70
Cr: 0.0000 0.0000 0.5000  2.70
W: 0.3333 0.6667 0.2500  0.15
W: 0.6667 0.3333 0.7500  0.15
O: 0.6685 0.6569 0.1312  -0.14
O: 0.9885 0.3315 0.1312  -0.14
O: 0.3315 0.9885 0.6312  -0.14
O: 0.0115 0.6685 0.8688  -0.14
O: 0.3431 0.3315 0.3688  -0.14
O: 0.9885 0.6569 0.3688  -0.14
O: 0.6569 0.9885 0.8688  -0.14
O: 0.6685 0.0115 0.3688  -0.14
O: 0.0115 0.3431 0.6312  -0.14
O: 0.3431 0.0115 0.1312  -0.14
O: 0.6569 0.6685 0.6312  -0.14
O: 0.3315 0.3431 0.8688  -0.14

energy = -7.153 eV per atom
DOS at the Fermi energy = 0.21 states/eV per atom